[1]
{
  "formula": "Ta2RhCl",
  "functional": "PBE",
  "state": "relaxed",
  "total_energy_ev_per_cell": -31.99,
  "e_above_lowest_polymorph_mev_per_atom": 453,
  "formation_energy_uncorrected_mev_per_atom": 229,
  "lattice": [[-2.417, 1.639, 3.460], [-4.311, 1.232, -0.633], [-3.347, -2.467, 1.793]],
  "species": ["Ta", "Cl", "Rh", "Ta"],
  "fractional_positions": [[0.750, 0.750, 0.750], [0.000, 0.000, 0.000], [0.500, 0.500, 0.500], [0.250, 0.250, 0.250]]
}

---

[2]
{
  "formula": "Tb5CeSmDy2",
  "functional": "PBE",
  "state": "relaxed",
  "total_energy_ev_per_cell": -82.94,
  "formation_energy_ev_per_atom": 0.171,
  "lattice": [[-3.359, -0.040, -4.623], [-6.929, -1.602, 8.579], [-1.207, 9.484, 0.796]],
  "species": ["Sm", "Tb", "Sm", "Ce", "Tb", "Tb", "Tb", "Dy", "Dy", "Dy", "Dy", "Ce", "Tb", "Tb", "Tb", "Tb", "Tb", "Tb"],
  "fractional_positions": [[0.597, 0.194, 0.925], [0.471, 0.942, 0.747], [0.403, 0.806, 0.425], [0.193, 0.385, 0.022], [0.394, 0.788, 0.042], [0.694, 0.388, 0.214], [0.606, 0.212, 0.542], [0.886, 0.773, 0.823], [0.114, 0.227, 0.323], [0.865, 0.730, 0.206], [0.135, 0.270, 0.706], [0.807, 0.615, 0.522], [0.267, 0.534, 0.332], [0.987, 0.974, 0.513], [0.013, 0.026, 0.013], [0.733, 0.466, 0.832], [0.306, 0.612, 0.714], [0.529, 0.058, 0.247]]
}

---

[3]
{
  "formula": "Ba2LiBi",
  "functional": "PBE",
  "state": "relaxed",
  "total_energy_ev_per_cell": -11.71,
  "formation_energy_ev_per_atom": -0.518,
  "lattice": [[-3.451, 1.410, -2.911], [-3.881, -0.702, 4.262], [0.838, 5.498, 1.669]],
  "species": ["Ba", "Ba", "Li", "Bi"],
  "fractional_positions": [[0.000, 0.000, 0.500], [0.000, 0.500, 0.000], [0.500, 0.500, 0.500], [0.500, 0.000, 0.000]]
}

---

[4]
{
  "formula": "Dy3SnB2Rh9",
  "functional": "PBE",
  "state": "relaxed",
  "total_energy_ev_per_cell": -106.25,
  "formation_energy_ev_per_atom": -0.595,
  "lattice": [[-0.910, -4.237, -3.932], [-2.341, -0.418, 5.346], [-7.222, 4.184, -2.836]],
  "species": ["Dy", "Rh", "Dy", "Sn", "B", "Rh", "Rh", "Rh", "Rh", "B", "Rh", "Rh", "Dy", "Rh", "Rh"],
  "fractional_positions": [[0.333, 0.667, 0.690], [0.500, 0.000, 0.000], [0.667, 0.333, 0.310], [0.000, 0.000, 0.500], [0.333, 0.667, 0.145], [0.163, 0.837, 0.267], [0.837, 0.163, 0.733], [0.326, 0.163, 0.733], [0.163, 0.326, 0.267], [0.667, 0.333, 0.855], [0.000, 0.500, 0.000], [0.674, 0.837, 0.267], [0.000, 0.000, 0.000], [0.837, 0.674, 0.733], [0.500, 0.500, 0.000]]
}

---

[5]
{
  "formula": "La5Co",
  "functional": "PBE",
  "state": "relaxed",
  "total_energy_ev_per_cell": -26.84,
  "e_above_lowest_polymorph_mev_per_atom": 818,
  "formation_energy_ev_per_atom": 0.818,
  "lattice": [[3.145, -5.448, 0.000], [3.145, 5.448, 0.000], [0.000, 0.000, 6.008]],
  "species": ["La", "La", "La", "Co", "La", "La"],
  "fractional_positions": [[0.000, 0.500, 0.500], [0.667, 0.333, 0.000], [0.500, 0.500, 0.500], [0.000, 0.000, 0.000], [0.500, 0.000, 0.500], [0.333, 0.667, 0.000]]
}

---

[6]
{
  "formula": "Ba2TlHg8",
  "functional": "PBE",
  "state": "relaxed",
  "total_energy_ev_per_cell": -11.68,
  "e_above_lowest_polymorph_mev_per_atom": 31,
  "formation_energy_ev_per_atom": -0.278,
  "lattice": [[5.080, 0.000, 0.000], [0.000, 5.080, 0.000], [0.000, 0.000, 13.747]],
  "species": ["Ba", "Hg", "Hg", "Tl", "Hg", "Hg", "Hg", "Hg", "Hg", "Hg", "Ba"],
  "fractional_positions": [[0.000, 0.000, 0.684], [0.500, 0.000, 0.500], [0.000, 0.500, 0.137], [0.000, 0.000, 0.000], [0.500, 0.500, 0.706], [0.000, 0.500, 0.863], [0.500, 0.000, 0.863], [0.500, 0.500, 0.294], [0.500, 0.000, 0.137], [0.000, 0.500, 0.500], [0.000, 0.000, 0.316]]
}

---

| no. | DOS(E_F) (states/eV/atom) |
| --- | --- |
| 1 | 1.179 |
| 2 | 1.771 |
| 3 | 0.447 |
| 4 | 1.095 |
| 5 | 2.453 |
| 6 | 0.734 |